# 1
# GeSeBr2Cl | Alexandria via LeMat-Bulk | meta-GGA SCAN | PBEsol geometry
data_GeSeBr2Cl
_chemical_formula_sum 'Ge1 Se1 Br2 Cl1'
_space_group_name_H-M_alt 'P 1'
_space_group_IT_number 1
_cell_length_a 5.033
_cell_length_b 5.033
_cell_length_c 5.163
_cell_angle_alpha 90.00
_cell_angle_beta 90.00
_cell_angle_gamma 90.00
loop_
_space_group_symop_operation_xyz
'x,y,z'
loop_
_atom_site_label
_atom_site_type_symbol
_atom_site_fract_x
_atom_site_fract_y
_atom_site_fract_z
Ge1 Ge 0.000 0.000 0.000
Se1 Se 0.000 0.000 0.500
Br1 Br 0.000 0.500 0.000
Br2 Br 0.500 0.000 0.000
Cl1 Cl 0.500 0.500 0.500
# - Crystal system: tetragonal
# - Energy relative to the elements, uncorrected: 184 meV/atom

---

# 2
# HBr2Cl | Alexandria via LeMat-Bulk | meta-GGA SCAN | PBEsol geometry
data_HBr2Cl
_chemical_formula_sum 'H2 Br4 Cl2'
_space_group_name_H-M_alt 'P 1'
_space_group_IT_number 1
_cell_length_a 6.184
_cell_length_b 6.048
_cell_length_c 6.184
_cell_angle_alpha 59.25
_cell_angle_beta 90.00
_cell_angle_gamma 120.75
loop_
_space_group_symop_operation_xyz
'x,y,z'
loop_
_atom_site_label
_atom_site_type_symbol
_atom_site_fract_x
_atom_site_fract_y
_atom_site_fract_z
H1 H 0.250 0.500 0.250
H2 H 0.500 0.000 0.500
Br1 Br 0.503 0.750 0.375
Br2 Br 0.247 0.750 0.875
Br3 Br 0.875 0.250 0.503
Br4 Br 0.375 0.250 0.247
Cl1 Cl 0.750 0.500 0.750
Cl2 Cl 0.000 0.000 0.000
# - Crystal system: tetragonal

---

# 3
# HSe2BrCl | Alexandria via LeMat-Bulk | meta-GGA SCAN | PBEsol geometry
data_HSe2BrCl
_chemical_formula_sum 'H1 Se2 Br1 Cl1'
_space_group_name_H-M_alt 'P 1'
_space_group_IT_number 1
_cell_length_a 4.971
_cell_length_b 4.971
_cell_length_c 5.356
_cell_angle_alpha 90.00
_cell_angle_beta 90.00
_cell_angle_gamma 90.00
loop_
_space_group_symop_operation_xyz
'x,y,z'
loop_
_atom_site_label
_atom_site_type_symbol
_atom_site_fract_x
_atom_site_fract_y
_atom_site_fract_z
H1 H 0.500 0.500 0.500
Se1 Se 0.000 0.500 0.000
Se2 Se 0.500 0.000 0.000
Br1 Br 0.000 0.000 0.500
Cl1 Cl 0.000 0.000 0.000
# - Crystal system: tetragonal

---

Number 1: raw total energy -17.029 eV/atom. Number 2: raw total energy -11.987 eV/atom. Number 3: raw total energy -12.971 eV/atom.